Here is crystalline AuC at its relaxed geometry from the Alexandria database. Energies are from GGA-PBE.

Summary:
- E above lowest polymorph (meV/atom) = 664
- E_form (eV/atom) = 0.95
- raw total energy (eV for the cell shown) = -84.9

Lattice parameters (Å, degrees): 7.4287 6.2916 6.6979 90.00 90.00 90.00
Last column: nearest neighbours and their distance in Å.
Fractional coordinates of all 16 atoms:
Au  0.8026  0.5116  0.7500  2 C 2.03-2.08
Au  0.8026  0.4884  0.2500  2 C 2.03-2.08
Au  0.6974  0.0116  0.7500  2 C 2.03-2.08
C  0.0860  0.8150  0.7500  1 C 1.28
C  0.0860  0.1850  0.2500  1 C 1.28
C  0.9140  0.8150  0.7500  1 C 1.28
C  0.9140  0.1850  0.2500  1 C 1.28
C  0.4140  0.3150  0.7500  1 C 1.28
C  0.5860  0.3150  0.7500  1 C 1.28
Au  0.1974  0.4884  0.2500  2 C 2.03-2.08
Au  0.1974  0.5116  0.7500  2 C 2.03-2.08
C  0.5860  0.6850  0.2500  1 C 1.28
Au  0.6974  0.9884  0.2500  2 C 2.03-2.08
C  0.4140  0.6850  0.2500  1 C 1.28
Au  0.3026  0.9884  0.2500  2 C 2.03-2.08
Au  0.3026  0.0116  0.7500  2 C 2.03-2.08

***

Here is crystalline AuC5 at its relaxed geometry from the Alexandria database. Energies are from GGA-PBE.

Summary:
- E above lowest polymorph (meV/atom) = 1106
- E_form (eV/atom) = 2.12
- raw total energy (eV for the cell shown) = -36.7

Lattice parameters (Å, degrees): 2.5649 2.5649 8.0546 90.00 90.00 90.00
Last column: nearest neighbours and their distance in Å.
Fractional coordinates of all 6 atoms:
C  0.5000  0.5000  0.2684  4 C 1.88
C  0.0000  0.0000  0.3315  1 C 1.36
Au  0.5000  0.5000  0.0000  2 C 2.16
C  0.0000  0.0000  0.6685  1 C 1.36
C  0.0000  0.0000  0.5000  2 C 1.36
C  0.5000  0.5000  0.7316  4 C 1.88

***

Here is crystalline Au3C4 at its relaxed geometry from the Alexandria database. Energies are from GGA-PBE.

Summary:
- E above lowest polymorph (meV/atom) = 232
- E_form (eV/atom) = 1.71
- raw total energy (eV for the cell shown) = -34.8

Lattice parameters (Å, degrees): 4.3989 4.3989 4.3989 90.00 90.00 90.00
Last column: nearest neighbours and their distance in Å.
Fractional coordinates of all 7 atoms:
C  0.1254  0.8746  0.1254  3 C 1.56
C  0.8746  0.8746  0.8746  3 C 1.56
Au  0.5000  0.0000  0.5000  4 C 2.39
C  0.1254  0.1254  0.8746  3 C 1.56
Au  0.5000  0.5000  0.0000  4 C 2.39
C  0.8746  0.1254  0.1254  3 C 1.56
Au  0.0000  0.5000  0.5000  4 C 2.39